1.
The following is a DFT calculation (PBE-GGA) of a relaxed structure of CrB2Ru.

Calculated density   7.92 g/cm3
Electronic total energy   -8.369 eV per atom
Offset from the most stable computed form   0.000 eV/f.u.
Energy of formation from the pure elements   -305 meV/atom
Crystal system   orthorhombic
D(E_F)   7.32 states/eV per cell

Unit cell a=2.9102 b=4.3200 c=5.8257 alpha=90.00 beta=90.00 gamma=90.00
With the nearest neighbours (Å) after each atom.
Space group Pmc2_1 (No. 26)
Symmetry-distinct sites (fractional):
Cr (0.0000, 0.1269, 0.0000) x2  7 B 2.20-2.44
B (0.0000, 0.3474, 0.3456) x2  2 B 1.77
B (0.5000, 0.1308, 0.2825) x2  2 B 1.77
Ru (0.5000, 0.3656, 0.6384) x2  7 B 2.24-2.33

=====

2.
The following is a DFT calculation (PBE-GGA) of a relaxed structure of ScCrB2Ru.

Calculated density   5.37 g/cm3
Electronic total energy   -6.613 eV per atom
Energy of formation from the pure elements   1104 meV/atom
Crystal system   tetragonal
D(E_F)   3.72 states/eV per cell

Unit cell a=3.9500 b=3.9500 c=4.3513 alpha=90.00 beta=90.00 gamma=90.00
With the nearest neighbours (Å) after each atom.
Space group P4/mmm (No. 123)
Symmetry-distinct sites (fractional):
Sc (0.0000, 0.0000, 0.0000) x1  2 Cr 2.18
Cr (0.0000, 0.0000, 0.5000) x1  4 B 1.97, 2 Sc 2.18
B (0.0000, 0.5000, 0.5000) x2  2 Cr 1.97
Ru (0.5000, 0.5000, 0.0000) x1  4 Sc 2.79, 8 B 2.94

=====

Copy entry 1 word for word.
The following is a DFT calculation (PBE-GGA) of a relaxed structure of CrB2Ru.

Calculated density   7.92 g/cm3
Electronic total energy   -8.369 eV per atom
Offset from the most stable computed form   0.000 eV/f.u.
Energy of formation from the pure elements   -305 meV/atom
Crystal system   orthorhombic
D(E_F)   7.32 states/eV per cell

Unit cell a=2.9102 b=4.3200 c=5.8257 alpha=90.00 beta=90.00 gamma=90.00
With the nearest neighbours (Å) after each atom.
Space group Pmc2_1 (No. 26)
Symmetry-distinct sites (fractional):
Cr (0.0000, 0.1269, 0.0000) x2  7 B 2.20-2.44
B (0.0000, 0.3474, 0.3456) x2  2 B 1.77
B (0.5000, 0.1308, 0.2825) x2  2 B 1.77
Ru (0.5000, 0.3656, 0.6384) x2  7 B 2.24-2.33

=====

Question: Which of these has the highest calculated density?
Answer: CrB2Ru

=====

What did the second record say?
The following is a DFT calculation (PBE-GGA) of a relaxed structure of ScCrB2Ru.

Calculated density   5.37 g/cm3
Electronic total energy   -6.613 eV per atom
Energy of formation from the pure elements   1104 meV/atom
Crystal system   tetragonal
D(E_F)   3.72 states/eV per cell

Unit cell a=3.9500 b=3.9500 c=4.3513 alpha=90.00 beta=90.00 gamma=90.00
With the nearest neighbours (Å) after each atom.
Space group P4/mmm (No. 123)
Symmetry-distinct sites (fractional):
Sc (0.0000, 0.0000, 0.0000) x1  2 Cr 2.18
Cr (0.0000, 0.0000, 0.5000) x1  4 B 1.97, 2 Sc 2.18
B (0.0000, 0.5000, 0.5000) x2  2 Cr 1.97
Ru (0.5000, 0.5000, 0.0000) x1  4 Sc 2.79, 8 B 2.94

=====

Copy entry 1 word for word.
The following is a DFT calculation (PBE-GGA) of a relaxed structure of CrB2Ru.

Calculated density   7.92 g/cm3
Electronic total energy   -8.369 eV per atom
Offset from the most stable computed form   0.000 eV/f.u.
Energy of formation from the pure elements   -305 meV/atom
Crystal system   orthorhombic
D(E_F)   7.32 states/eV per cell

Unit cell a=2.9102 b=4.3200 c=5.8257 alpha=90.00 beta=90.00 gamma=90.00
With the nearest neighbours (Å) after each atom.
Space group Pmc2_1 (No. 26)
Symmetry-distinct sites (fractional):
Cr (0.0000, 0.1269, 0.0000) x2  7 B 2.20-2.44
B (0.0000, 0.3474, 0.3456) x2  2 B 1.77
B (0.5000, 0.1308, 0.2825) x2  2 B 1.77
Ru (0.5000, 0.3656, 0.6384) x2  7 B 2.24-2.33